Entry 1:
Tl3Tc after structural relaxation. Source: Alexandria via LeMat-Bulk, functional PBE-GGA.

```
Tl3Tc
1.0
5.173 -6.170 0.000
5.173 6.170 0.000
0.000 0.000 3.513
Tl Tc
6 2
Direct
0.319 0.681 0.250 Tl
0.651 0.891 0.750 Tl
0.109 0.349 0.750 Tl
0.349 0.109 0.250 Tl
0.891 0.651 0.250 Tl
0.681 0.319 0.750 Tl
0.062 0.938 0.750 Tc
0.938 0.062 0.250 Tc
```

Calculated values
- Final energy: -15.9 eV/f.u.
- ΔE_f: 398 meV/atom


Entry 2:
AgOsCl2 after structural relaxation. Source: Alexandria via LeMat-Bulk, functional PBE-GGA.

```
AgOsCl2
1.0
-1.145 -1.752 4.277
3.179 -2.560 2.452
1.995 1.810 3.926
Cl Ag Os
2 1 1
Direct
0.000 0.000 0.000 Cl
0.250 0.250 0.250 Cl
0.500 0.500 0.500 Ag
0.750 0.750 0.750 Os
```

Calculated values
- Final energy: -12.7 eV/f.u.
- ΔE_f (raw): 5.050 eV/f.u.


Entry 3:
RbAlCd2Sn after structural relaxation. Source: Alexandria via LeMat-Bulk, functional PBE-GGA.

```
RbAlCd2Sn
1.0
-1.560 5.112 1.104
-1.525 -1.557 5.051
5.006 1.127 1.859
Al Sn Rb Cd
1 1 1 2
Direct
0.000 0.000 0.000 Al
0.000 0.500 0.000 Sn
0.500 0.500 0.500 Rb
0.500 0.000 0.000 Cd
0.000 0.000 0.500 Cd
```

Calculated values
- Final energy: -9.8 eV/f.u.
- ΔE_f: 145 meV/atom


What did the first record say?
Tl3Tc after structural relaxation. Source: Alexandria via LeMat-Bulk, functional PBE-GGA.

```
Tl3Tc
1.0
5.173 -6.170 0.000
5.173 6.170 0.000
0.000 0.000 3.513
Tl Tc
6 2
Direct
0.319 0.681 0.250 Tl
0.651 0.891 0.750 Tl
0.109 0.349 0.750 Tl
0.349 0.109 0.250 Tl
0.891 0.651 0.250 Tl
0.681 0.319 0.750 Tl
0.062 0.938 0.750 Tc
0.938 0.062 0.250 Tc
```

Calculated values
- Final energy: -15.9 eV/f.u.
- ΔE_f: 398 meV/atom